DFT (PBE) results for a relaxed Y2Zn2Ga crystal.

Calculated values
Total energy in eV per atom: -4.168
Density of states at the Fermi level in states/eV per atom: 0.83
ΔE_f in eV/atom: -0.47

a = 10.594 Å, b = 4.370 Å, c = 10.564 Å
α = 90.00°, β = 117.39°, γ = 90.00°
Space group C2/m (No. 12)
Inequivalent atoms, fractional coordinates:
1 Y 0.020 0.000 0.336 (multiplicity 4)
2 Y 0.191 0.000 0.103 (multiplicity 4)
3 Zn 0.019 0.500 0.885 (multiplicity 4)
4 Zn 0.140 0.500 0.560 (multiplicity 4)
5 Ga 0.226 0.500 0.338 (multiplicity 4)